Record 1
Density functional theory data (PBE-GGA) for a geometry-optimized ZnBiBr4 structure.

Output
Total energy ... -2.587 eV/atom
Total magnetization ... 0.00 Bohr magnetons per cell
Energy relative to the elements, uncorrected ... -0.613 eV/atom
Volume ... 211.9 Å³/cell

The structure in POSCAR format:
```
ZnBiBr4
1.0
4.5792 -4.3304 0.0000
4.5792 4.3304 0.0000
-4.2769 0.0000 5.3440
Zn Bi Br
1 1 4
Cartesian
0.0000 0.0000 0.0000
2.4408 1.2406 2.6720
-2.2287 1.3145 5.1590
0.1747 -0.9969 2.2737
7.1102 1.3145 0.1850
4.7068 -0.9969 3.0702
```

Record 2
Density functional theory data (PBE-GGA) for a geometry-optimized ZnBiBr5 structure.

Output
Total energy ... -2.679 eV/atom
Total magnetization ... 0.00 Bohr magnetons per cell
Energy relative to the elements, uncorrected ... -0.747 eV/atom
Volume ... 529.2 Å³/cell

The structure in POSCAR format:
```
ZnBiBr5
1.0
5.3932 -5.2640 0.0000
5.3932 5.2640 0.0000
-5.2613 0.0000 9.3204
Zn Bi Br
2 2 10
Cartesian
1.4472 3.9272 6.9903
4.0779 -3.9272 2.3301
2.6966 2.6320 0.0000
0.0659 -2.6320 4.6602
-0.5060 0.1943 4.3080
-0.1780 2.2156 7.7464
-3.1367 -0.1943 8.9683
4.0779 1.6261 2.3301
3.0725 2.2156 6.2342
2.4526 -2.2156 3.0862
1.4472 -1.6261 6.9903
8.6617 0.1943 0.3522
5.7031 -2.2156 1.5740
6.0311 -0.1943 5.0124
```

Record 3
Density functional theory data (PBE-GGA) for a geometry-optimized ZnBiBr3 structure.

Output
Total energy ... -2.228 eV/atom
Total magnetization ... 0.00 Bohr magnetons per cell
Energy relative to the elements, uncorrected ... -0.193 eV/atom
Volume ... 138.0 Å³/cell

The structure in POSCAR format:
```
ZnBiBr3
1.0
5.1671 0.0000 0.0000
0.0000 5.1671 0.0000
0.0000 0.0000 5.1671
Zn Bi Br
1 1 3
Cartesian
0.0000 0.0000 0.0000
2.5836 2.5836 2.5836
0.0000 0.0000 2.5836
0.0000 2.5836 0.0000
2.5836 0.0000 0.0000
```

Record 4
Density functional theory data (PBE-GGA) for a geometry-optimized ZnBi2Br structure.

Output
Total energy ... -2.542 eV/atom
Total magnetization ... 0.00 Bohr magnetons per cell
Energy relative to the elements, uncorrected ... 0.136 eV/atom
Volume ... 106.3 Å³/cell

The structure in POSCAR format:
```
ZnBi2Br
1.0
0.0000 3.7598 3.7598
3.7598 0.0000 3.7598
3.7598 3.7598 0.0000
Zn Bi Br
1 2 1
Cartesian
0.0000 0.0000 0.0000
1.8799 1.8799 1.8799
5.6397 5.6397 5.6397
3.7598 3.7598 3.7598
```

Record 5
Density functional theory data (PBE-GGA) for a geometry-optimized ZnBiBr6 structure.

Output
Total energy ... -2.405 eV/atom
Total magnetization ... 0.00 Bohr magnetons per cell
Energy relative to the elements, uncorrected ... -0.506 eV/atom
Volume ... 250.2 Å³/cell

The structure in POSCAR format:
```
ZnBiBr6
1.0
3.4347 1.9830 6.1223
-3.4347 1.9830 6.1223
0.0000 -3.9661 6.1223
Zn Bi Br
1 1 6
Cartesian
0.0000 0.0000 0.0000
0.0000 0.0000 9.1835
-2.3738 0.0491 7.5689
-1.2294 -2.0312 10.7981
1.1444 -2.0803 7.5689
-1.1444 2.0803 10.7981
1.2294 2.0312 7.5689
2.3738 -0.0491 10.7981
```

Record 6
Density functional theory data (PBE-GGA) for a geometry-optimized ZnBiBr3 structure.

Output
Total energy ... -2.306 eV/atom
Total magnetization ... 0.00 Bohr magnetons per cell
Energy relative to the elements, uncorrected ... -0.271 eV/atom
Volume ... 190.0 Å³/cell

The structure in POSCAR format:
```
ZnBiBr3
1.0
5.7493 0.0000 0.0000
0.0000 5.7493 0.0000
0.0000 0.0000 5.7493
Zn Bi Br
1 1 3
Cartesian
0.0000 0.0000 0.0000
2.8746 2.8746 2.8746
0.0000 2.8746 2.8746
2.8746 0.0000 2.8746
2.8746 2.8746 0.0000
```